[1]
Here is an optimized crystal structure of AlCd from the Alexandria database. Energies are from PBE-GGA.

Results
- crystal system = orthorhombic
- magnetization (μB per cell) = 0.00
- DFT total energy (eV/atom) = -2.182

a = 7.0503 Å, b = 4.7017 Å, c = 10.3050 Å
α = 90.00°, β = 90.00°, γ = 90.00°
Sites, in units of the cell vectors:
Al 0.2156 0.8806 0.1094
Al 0.7156 0.6194 0.8906
Al 0.7844 0.3806 0.3906
Al 0.2844 0.1194 0.6094
Al 0.4145 0.6147 0.7145
Al 0.9145 0.8853 0.2855
Al 0.5855 0.1147 0.7855
Al 0.0855 0.3853 0.2145
Cd 0.7795 0.1305 0.0426
Cd 0.2795 0.3695 0.9574
Cd 0.2205 0.6305 0.4574
Cd 0.7205 0.8695 0.5426
Cd 0.0769 0.8616 0.8294
Cd 0.5769 0.6384 0.1706
Cd 0.9231 0.3616 0.6706
Cd 0.4231 0.1384 0.3294

***

[2]
Here is an optimized crystal structure of AlCd4 from the Alexandria database. Energies are from PBE-GGA.

Results
- crystal system = cubic
- magnetization (μB per cell) = 0.00
- DFT total energy (eV/atom) = -1.173

a = 5.3005 Å, b = 5.3005 Å, c = 5.3005 Å
α = 90.00°, β = 90.00°, γ = 90.00°
Sites, in units of the cell vectors:
Al 0.5000 0.5000 0.5000
Cd 0.0000 0.0000 0.0000
Cd 0.5000 0.0000 0.5000
Cd 0.0000 0.5000 0.5000
Cd 0.5000 0.5000 0.0000

***

[3]
Here is an optimized crystal structure of AlCd from the Alexandria database. Energies are from PBE-GGA.

Results
- crystal system = orthorhombic
- magnetization (μB per cell) = 0.00
- DFT total energy (eV/atom) = -2.244

a = 8.8720 Å, b = 8.8720 Å, c = 3.0109 Å
α = 90.00°, β = 90.00°, γ = 160.02°
Sites, in units of the cell vectors:
Al 0.8034 0.1966 0.7500
Al 0.1966 0.8034 0.2500
Cd 0.5740 0.4260 0.7500
Cd 0.4260 0.5740 0.2500

***

[4]
Here is an optimized crystal structure of Al5Cd3 from the Alexandria database. Energies are from PBE-GGA.

Results
- crystal system = monoclinic
- excess energy over the best structure of this formula in the dataset (eV/atom) = 0.025
- magnetization (μB per cell) = 0.00
- DFT total energy (eV/atom) = -2.497

a = 8.4342 Å, b = 8.4362 Å, c = 8.1344 Å
α = 96.06°, β = 96.07°, γ = 142.99°
Sites, in units of the cell vectors:
Al 0.2423 0.7428 0.4889
Al 0.7567 0.2572 0.5111
Al 0.7189 0.0386 0.7739
Al 0.2803 0.9615 0.2259
Al 0.7665 0.5427 0.3165
Al 0.2324 0.4570 0.6835
Al 0.5382 0.2193 0.7740
Al 0.4613 0.7811 0.2261
Al 0.0425 0.2673 0.3168
Al 0.9564 0.7325 0.6833
Cd 0.7855 0.7139 0.9998
Cd 0.2135 0.2862 0.0002
Cd 0.2927 0.2048 0.4999
Cd 0.7045 0.7931 0.5000
Cd 0.2072 0.7076 0.9091
Cd 0.7944 0.2948 0.0909

***

[5]
Here is an optimized crystal structure of Al2Cd from the Alexandria database. Energies are from PBE-GGA.

Results
- crystal system = tetragonal
- magnetization (μB per cell) = 0.00
- DFT total energy (eV/atom) = -2.692

a = 6.5365 Å, b = 6.5365 Å, c = 6.5365 Å
α = 153.18°, β = 153.18°, γ = 38.29°
Sites, in units of the cell vectors:
Al 0.1746 0.1746 0.0000
Al 0.8254 0.8254 0.0000
Cd 0.5000 0.5000 0.0000

***

[6]
Here is an optimized crystal structure of AlCd from the Alexandria database. Energies are from PBE-GGA.

Results
- crystal system = orthorhombic
- magnetization (μB per cell) = 0.00
- DFT total energy (eV/atom) = -2.222

a = 4.2050 Å, b = 6.5988 Å, c = 2.9073 Å
α = 90.00°, β = 90.00°, γ = 90.00°
Sites, in units of the cell vectors:
Al 0.0000 0.4067 0.0000
Al 0.5000 0.5933 0.5000
Cd 0.0000 0.8628 0.0000
Cd 0.5000 0.1372 0.5000

***

[7]
Here is an optimized crystal structure of AlCd4 from the Alexandria database. Energies are from PBE-GGA.

Results
- crystal system = tetragonal
- magnetization (μB per cell) = 0.00
- DFT total energy (eV/atom) = -1.389

a = 5.4276 Å, b = 5.4276 Å, c = 5.4276 Å
α = 99.41°, β = 99.41°, γ = 132.31°
Sites, in units of the cell vectors:
Al 0.0000 0.0000 0.0000
Cd 0.7965 0.3991 0.1956
Cd 0.3991 0.2035 0.6027
Cd 0.2035 0.6009 0.8044
Cd 0.6009 0.7965 0.3973

***

[8]
Here is an optimized crystal structure of AlCd from the Alexandria database. Energies are from PBE-GGA.

Results
- crystal system = trigonal
- magnetization (μB per cell) = 0.00
- DFT total energy (eV/atom) = -2.227

a = 2.9455 Å, b = 2.9455 Å, c = 10.7797 Å
α = 90.00°, β = 90.00°, γ = 120.00°
Sites, in units of the cell vectors:
Al 0.0000 0.0000 0.0183
Al 0.6667 0.3333 0.2317
Cd 0.0000 0.0000 0.4854
Cd 0.6667 0.3333 0.7646

***

[9]
Here is an optimized crystal structure of Al5Cd from the Alexandria database. Energies are from PBE-GGA.

Results
- crystal system = tetragonal
- excess energy over the best structure of this formula in the dataset (eV/atom) = 0.000
- magnetization (μB per cell) = 0.00
- DFT total energy (eV/atom) = -3.213

a = 2.9046 Å, b = 2.9046 Å, c = 12.6210 Å
α = 90.00°, β = 90.00°, γ = 90.00°
Sites, in units of the cell vectors:
Al 0.0000 0.0000 0.8149
Al 0.0000 0.0000 0.1851
Al 0.5000 0.5000 0.6552
Al 0.5000 0.5000 0.3448
Al 0.0000 0.0000 0.5000
Cd 0.5000 0.5000 0.0000

***

[10]
Here is an optimized crystal structure of AlCd from the Alexandria database. Energies are from PBE-GGA.

Results
- crystal system = cubic
- magnetization (μB per cell) = 0.00
- DFT total energy (eV/atom) = -1.981

a = 4.0225 Å, b = 4.0225 Å, c = 4.0225 Å
α = 60.00°, β = 60.00°, γ = 60.00°
Sites, in units of the cell vectors:
Al 0.0000 0.0000 0.0000
Cd 0.5000 0.5000 0.5000

***

[11]
Here is an optimized crystal structure of AlCd from the Alexandria database. Energies are from PBE-GGA.

Results
- crystal system = tetragonal
- magnetization (μB per cell) = 0.00
- DFT total energy (eV/atom) = -2.001

a = 8.8464 Å, b = 8.8464 Å, c = 2.9043 Å
α = 90.00°, β = 90.00°, γ = 90.00°
Sites, in units of the cell vectors:
Al 0.3904 0.6096 0.0000
Al 0.8904 0.8904 0.5000
Al 0.1096 0.1096 0.5000
Al 0.6096 0.3904 0.0000
Cd 0.3023 0.3023 0.0000
Cd 0.8023 0.1977 0.5000
Cd 0.1977 0.8023 0.5000
Cd 0.6977 0.6977 0.0000

***

[12]
Here is an optimized crystal structure of Al4Cd5 from the Alexandria database. Energies are from PBE-GGA.

Results
- crystal system = tetragonal
- excess energy over the best structure of this formula in the dataset (eV/atom) = 0.000
- magnetization (μB per cell) = 0.00
- DFT total energy (eV/atom) = -2.052

a = 6.7885 Å, b = 6.7885 Å, c = 6.7885 Å
α = 96.11°, β = 96.11°, γ = 141.92°
Sites, in units of the cell vectors:
Al 0.6537 0.0000 0.6537
Al 0.3463 0.0000 0.3463
Al 0.0000 0.3463 0.3463
Al 0.0000 0.6537 0.6537
Cd 0.0000 0.0000 0.0000
Cd 0.6691 0.3309 0.0000
Cd 0.3309 0.6691 0.0000
Cd 0.3309 0.3309 0.6617
Cd 0.6691 0.6691 0.3383

***

Which formula does entry 5 have?
Al2Cd